Record 1
This record from Alexandria via LeMat-Bulk describes crystalline KHf2Ti at its relaxed geometry. The functional is PBE-GGA.

CIF file:
```
data_KHf2Ti
_chemical_formula_sum 'K4 Hf8 Ti4'
_cell_length_a 6.9506
_cell_length_b 6.9506
_cell_length_c 13.4713
_cell_angle_alpha 90.00
_cell_angle_beta 90.00
_cell_angle_gamma 90.00
_space_group_name_H-M_alt 'I 41/a m d'
_space_group_IT_number 141
loop_
_space_group_symop_operation_xyz
'x,y,z'
'-x,-y,-z'
'-y+1/4,x+3/4,z+1/4'
'y+1/4,-x+3/4,-z+1/4'
'-x+1/2,-y,z+1/2'
'x+1/2,y,-z+1/2'
'y+1/4,-x+1/4,z+3/4'
'-y+1/4,x+1/4,-z+3/4'
'x,-y,-z'
'-x,y,z'
'-y+1/4,-x+1/4,-z+3/4'
'y+1/4,x+1/4,z+3/4'
'-x+1/2,y,-z+1/2'
'x+1/2,-y,z+1/2'
'y+1/4,x+3/4,-z+1/4'
'-y+1/4,-x+3/4,z+1/4'
'x+1/2,y+1/2,z+1/2'
'-x+1/2,-y+1/2,-z+1/2'
'-y+3/4,x+1/4,z+3/4'
'y+3/4,-x+1/4,-z+3/4'
'-x,-y+1/2,z'
'x,y+1/2,-z'
'y+3/4,-x+3/4,z+1/4'
'-y+3/4,x+3/4,-z+1/4'
'x+1/2,-y+1/2,-z+1/2'
'-x+1/2,y+1/2,z+1/2'
'-y+3/4,-x+3/4,-z+1/4'
'y+3/4,x+3/4,z+1/4'
'-x,y+1/2,-z'
'x,-y+1/2,z'
'y+3/4,x+1/4,-z+3/4'
'-y+3/4,-x+1/4,z+3/4'
loop_
_atom_site_label
_atom_site_type_symbol
_atom_site_fract_x
_atom_site_fract_y
_atom_site_fract_z
_atom_site_occupancy
K1 K 0.0000 0.2500 0.3750 1
Hf1 Hf 0.0000 0.0000 0.0000 1
Ti1 Ti 0.0000 0.2500 0.8750 1
```

Values from the calculation:
Calculated volume = 40.68 Å³/atom
Electronic total energy = -5.52 eV/atom

Record 2
This record from Alexandria via LeMat-Bulk describes crystalline KHfTi3 at its relaxed geometry. The functional is PBE-GGA.

CIF file:
```
data_KHfTi3
_chemical_formula_sum 'K1 Hf1 Ti3'
_cell_length_a 5.1490
_cell_length_b 5.1490
_cell_length_c 5.1490
_cell_angle_alpha 90.00
_cell_angle_beta 90.00
_cell_angle_gamma 90.00
_space_group_name_H-M_alt 'P m -3 m'
_space_group_IT_number 221
_space_group_name_Hall '-P 4 2 3'
loop_
_atom_site_label
_atom_site_type_symbol
_atom_site_fract_x
_atom_site_fract_y
_atom_site_fract_z
_atom_site_occupancy
K1 K 0.0000 0.0000 0.0000 1
Hf1 Hf 0.5000 0.5000 0.5000 1
Ti1 Ti 0.0000 0.5000 0.5000 1
```

Values from the calculation:
Calculated volume = 27.30 Å³/atom
Electronic total energy = -5.67 eV/atom

Record 3
This record from Alexandria via LeMat-Bulk describes crystalline KHfTi2 at its relaxed geometry. The functional is PBE-GGA.

CIF file:
```
data_KHfTi2
_chemical_formula_sum 'K4 Hf4 Ti8'
_cell_length_a 4.3803
_cell_length_b 4.3803
_cell_length_c 20.5260
_cell_angle_alpha 90.00
_cell_angle_beta 90.00
_cell_angle_gamma 90.00
_space_group_name_H-M_alt 'I -4 2 d'
_space_group_IT_number 122
_space_group_name_Hall 'I -4 2bw'
loop_
_atom_site_label
_atom_site_type_symbol
_atom_site_fract_x
_atom_site_fract_y
_atom_site_fract_z
_atom_site_occupancy
K1 K 0.0000 0.0000 0.0000 1
Hf1 Hf 0.0000 0.0000 0.5000 1
Ti1 Ti 0.2005 0.2500 0.6250 1
```

Values from the calculation:
Calculated volume = 24.61 Å³/atom
Electronic total energy = -5.29 eV/atom

Record 4
This record from Alexandria via LeMat-Bulk describes crystalline KHfTl at its relaxed geometry. The functional is PBE-GGA.

CIF file:
```
data_KHfTl
_chemical_formula_sum 'K4 Hf4 Tl4'
_cell_length_a 12.5198
_cell_length_b 3.2440
_cell_length_c 10.5336
_cell_angle_alpha 90.00
_cell_angle_beta 94.94
_cell_angle_gamma 90.00
_space_group_name_H-M_alt 'C 1 m 1'
_space_group_IT_number 8
_space_group_name_Hall 'C -2y'
loop_
_atom_site_label
_atom_site_type_symbol
_atom_site_fract_x
_atom_site_fract_y
_atom_site_fract_z
_atom_site_occupancy
K1 K 0.0000 0.0000 0.0000 1
K2 K 0.1926 0.0000 0.6099 1
Hf1 Hf 0.2669 0.0000 0.1715 1
Hf2 Hf 0.4028 0.5000 0.3489 1
Tl1 Tl 0.1094 0.5000 0.3173 1
Tl2 Tl 0.2358 0.5000 0.9176 1
```

Values from the calculation:
Calculated volume = 35.52 Å³/atom
Electronic total energy = -4.11 eV/atom

Record 5
This record from Alexandria via LeMat-Bulk describes crystalline KHfTl at its relaxed geometry. The functional is PBE-GGA.

CIF file:
```
data_KHfTl
_chemical_formula_sum 'K4 Hf4 Tl4'
_cell_length_a 13.5137
_cell_length_b 3.2415
_cell_length_c 9.2952
_cell_angle_alpha 90.00
_cell_angle_beta 110.24
_cell_angle_gamma 90.00
_space_group_name_H-M_alt 'C 1 m 1'
_space_group_IT_number 8
_space_group_name_Hall 'C -2y'
loop_
_atom_site_label
_atom_site_type_symbol
_atom_site_fract_x
_atom_site_fract_y
_atom_site_fract_z
_atom_site_occupancy
K1 K 0.0000 0.0000 0.0000 1
K2 K 0.1982 0.5000 0.7620 1
Hf1 Hf 0.3094 0.0000 0.2132 1
Hf2 Hf 0.4852 0.5000 0.3986 1
Tl1 Tl 0.1699 0.5000 0.3532 1
Tl2 Tl 0.3954 0.0000 0.6147 1
```

Values from the calculation:
Calculated volume = 31.84 Å³/atom
Electronic total energy = -4.15 eV/atom

Record 6
This record from Alexandria via LeMat-Bulk describes crystalline KHfTl at its relaxed geometry. The functional is PBE-GGA.

CIF file:
```
data_KHfTl
_chemical_formula_sum 'K2 Hf2 Tl2'
_cell_length_a 3.2948
_cell_length_b 3.2742
_cell_length_c 16.8732
_cell_angle_alpha 90.00
_cell_angle_beta 90.03
_cell_angle_gamma 90.00
_space_group_name_H-M_alt 'P 1 m 1'
_space_group_IT_number 6
_space_group_name_Hall 'P -2y'
loop_
_atom_site_label
_atom_site_type_symbol
_atom_site_fract_x
_atom_site_fract_y
_atom_site_fract_z
_atom_site_occupancy
K1 K 0.0000 0.0000 0.0000 1
K2 K 0.0019 0.0000 0.3673 1
Hf1 Hf 0.4980 0.5000 0.5687 1
Hf2 Hf 0.9982 0.0000 0.6842 1
Tl1 Tl 0.4990 0.5000 0.8333 1
Tl2 Tl 0.5021 0.5000 0.1842 1
```

Values from the calculation:
Calculated volume = 30.34 Å³/atom
Electronic total energy = -4.30 eV/atom

Record 7
This record from Alexandria via LeMat-Bulk describes crystalline KHfTl at its relaxed geometry. The functional is PBE-GGA.

CIF file:
```
data_KHfTl
_chemical_formula_sum 'K2 Hf2 Tl2'
_cell_length_a 3.3745
_cell_length_b 5.0288
_cell_length_c 12.9307
_cell_angle_alpha 90.00
_cell_angle_beta 97.24
_cell_angle_gamma 90.00
_space_group_name_H-M_alt 'P 1 m 1'
_space_group_IT_number 6
_space_group_name_Hall 'P -2y'
loop_
_atom_site_label
_atom_site_type_symbol
_atom_site_fract_x
_atom_site_fract_y
_atom_site_fract_z
_atom_site_occupancy
K1 K 0.0000 0.0000 0.0000 1
K2 K 0.3635 0.5000 0.7067 1
Hf1 Hf 0.1174 0.5000 0.2445 1
Hf2 Hf 0.7071 0.5000 0.4301 1
Tl1 Tl 0.2320 0.0000 0.4827 1
Tl2 Tl 0.6213 0.0000 0.2526 1
```

Values from the calculation:
Calculated volume = 36.28 Å³/atom
Electronic total energy = -4.25 eV/atom

Record 8
This record from Alexandria via LeMat-Bulk describes crystalline KHfTl at its relaxed geometry. The functional is PBE-GGA.

CIF file:
```
data_KHfTl
_chemical_formula_sum 'K2 Hf2 Tl2'
_cell_length_a 4.8845
_cell_length_b 4.8845
_cell_length_c 11.1334
_cell_angle_alpha 90.00
_cell_angle_beta 90.00
_cell_angle_gamma 120.00
_space_group_name_H-M_alt 'P 3 m 1'
_space_group_IT_number 156
_space_group_name_Hall 'P 3 -2"'
loop_
_atom_site_label
_atom_site_type_symbol
_atom_site_fract_x
_atom_site_fract_y
_atom_site_fract_z
_atom_site_occupancy
K1 K 0.0000 0.0000 0.0000 1
K2 K 0.3333 0.6667 0.3210 1
Hf1 Hf 0.0000 0.0000 0.6221 1
Hf2 Hf 0.6667 0.3333 0.7625 1
Tl1 Tl 0.3333 0.6667 0.7684 1
Tl2 Tl 0.6667 0.3333 0.5055 1
```

Values from the calculation:
Calculated volume = 38.34 Å³/atom
Electronic total energy = -4.12 eV/atom

Record 9
This record from Alexandria via LeMat-Bulk describes crystalline KHfTl2 at its relaxed geometry. The functional is PBE-GGA.

CIF file:
```
data_KHfTl2
_chemical_formula_sum 'K4 Hf4 Tl8'
_cell_length_a 5.7101
_cell_length_b 5.7101
_cell_length_c 19.2524
_cell_angle_alpha 90.00
_cell_angle_beta 90.00
_cell_angle_gamma 90.00
_space_group_name_H-M_alt 'I -4 2 d'
_space_group_IT_number 122
_space_group_name_Hall 'I -4 2bw'
loop_
_atom_site_label
_atom_site_type_symbol
_atom_site_fract_x
_atom_site_fract_y
_atom_site_fract_z
_atom_site_occupancy
K1 K 0.0000 0.0000 0.0000 1
Hf1 Hf 0.0000 0.0000 0.5000 1
Tl1 Tl 0.1412 0.2500 0.6250 1
```

Values from the calculation:
Calculated volume = 39.23 Å³/atom
Electronic total energy = -3.31 eV/atom

Record 10
This record from Alexandria via LeMat-Bulk describes crystalline K3HfTl at its relaxed geometry. The functional is PBE-GGA.

CIF file:
```
data_K3HfTl
_chemical_formula_sum 'K3 Hf1 Tl1'
_cell_length_a 6.7288
_cell_length_b 6.7288
_cell_length_c 6.7288
_cell_angle_alpha 90.00
_cell_angle_beta 90.00
_cell_angle_gamma 90.00
_space_group_name_H-M_alt 'P m -3 m'
_space_group_IT_number 221
_space_group_name_Hall '-P 4 2 3'
loop_
_atom_site_label
_atom_site_type_symbol
_atom_site_fract_x
_atom_site_fract_y
_atom_site_fract_z
_atom_site_occupancy
K1 K 0.0000 0.0000 0.5000 1
Hf1 Hf 0.0000 0.0000 0.0000 1
Tl1 Tl 0.5000 0.5000 0.5000 1
```

Values from the calculation:
Calculated volume = 60.93 Å³/atom
Electronic total energy = -1.90 eV/atom

Record 11
This record from Alexandria via LeMat-Bulk describes crystalline KHfTl at its relaxed geometry. The functional is PBE-GGA.

CIF file:
```
data_KHfTl
_chemical_formula_sum 'K4 Hf4 Tl4'
_cell_length_a 9.0961
_cell_length_b 3.1680
_cell_length_c 11.8364
_cell_angle_alpha 90.00
_cell_angle_beta 90.00
_cell_angle_gamma 90.00
_space_group_name_H-M_alt 'P n m a'
_space_group_IT_number 62
_space_group_name_Hall '-P 2ac 2n'
loop_
_atom_site_label
_atom_site_type_symbol
_atom_site_fract_x
_atom_site_fract_y
_atom_site_fract_z
_atom_site_occupancy
K1 K 0.1513 0.2500 0.0773 1
Hf1 Hf 0.0449 0.2500 0.3934 1
Tl1 Tl 0.1679 0.2500 0.7860 1
```

Values from the calculation:
Calculated volume = 28.42 Å³/atom
Electronic total energy = -4.16 eV/atom

Record 12
This record from Alexandria via LeMat-Bulk describes crystalline KHfTl at its relaxed geometry. The functional is PBE-GGA.

CIF file:
```
data_KHfTl
_chemical_formula_sum 'K2 Hf2 Tl2'
_cell_length_a 5.4843
_cell_length_b 5.4843
_cell_length_c 6.2413
_cell_angle_alpha 90.00
_cell_angle_beta 90.00
_cell_angle_gamma 120.00
_space_group_name_H-M_alt 'P 63/m m c'
_space_group_IT_number 194
_space_group_name_Hall '-P 6c 2c'
loop_
_atom_site_label
_atom_site_type_symbol
_atom_site_fract_x
_atom_site_fract_y
_atom_site_fract_z
_atom_site_occupancy
K1 K 0.0000 0.0000 0.0000 1
Hf1 Hf 0.3333 0.6667 0.2500 1
Tl1 Tl 0.3333 0.6667 0.7500 1
```

Values from the calculation:
Calculated volume = 27.10 Å³/atom
Electronic total energy = -3.84 eV/atom

Number 1: energy of formation 1.71 eV per atom, DOS(E_F) 1.035 states/eV/atom, excess energy over the best structure of this formula in the dataset 0.5797 eV per atom. Number 2: energy of formation 1.28 eV per atom, DOS(E_F) 1.286 states/eV/atom, excess energy over the best structure of this formula in the dataset 0.0000 eV per atom. Number 3: energy of formation 1.42 eV per atom, DOS(E_F) 1.178 states/eV/atom, excess energy over the best structure of this formula in the dataset 0.2626 eV per atom. Number 4: energy of formation 0.37 eV per atom, DOS(E_F) 0.384 states/eV/atom, excess energy over the best structure of this formula in the dataset 0.2725 eV per atom. Number 5: energy of formation 0.32 eV per atom, DOS(E_F) 0.880 states/eV/atom, excess energy over the best structure of this formula in the dataset 0.2253 eV per atom. Number 6: energy of formation 0.17 eV per atom, DOS(E_F) 0.534 states/eV/atom, excess energy over the best structure of this formula in the dataset 0.0800 eV per atom. Number 7: energy of formation 0.22 eV per atom, DOS(E_F) 0.636 states/eV/atom, excess energy over the best structure of this formula in the dataset 0.1272 eV per atom. Number 8: energy of formation 0.35 eV per atom, DOS(E_F) 0.001 states/eV/atom, excess energy over the best structure of this formula in the dataset 0.2592 eV per atom. Number 9: energy of formation 0.64 eV per atom, DOS(E_F) 0.833 states/eV/atom, excess energy over the best structure of this formula in the dataset 0.2139 eV per atom. Number 10: energy of formation 1.22 eV per atom, DOS(E_F) 1.003 states/eV/atom, excess energy over the best structure of this formula in the dataset 0.0775 eV per atom. Number 11: energy of formation 0.31 eV per atom, DOS(E_F) 0.723 states/eV/atom, excess energy over the best structure of this formula in the dataset 0.2220 eV per atom. Number 12: energy of formation 0.63 eV per atom, DOS(E_F) 0.169 states/eV/atom, excess energy over the best structure of this formula in the dataset 0.5406 eV per atom.